This record from Alexandria describes an optimized crystal structure of MgFe2O5. The functional is GGA+U.

Lattice parameters (Å, degrees): 3.2891 5.0627 11.7097 90.00 90.00 90.00
Last column: nearest neighbours and their distance in Å.
Sites, in units of the cell vectors:
O  0.5000  0.1051  0.4098  1 Fe 1.84
O  0.0000  0.6321  0.6857  3 Fe 1.95-2.00
O  0.0000  0.6321  0.3143  3 Fe 1.95-2.00
O  0.5000  0.3679  0.1857  3 Fe 1.95-2.00
O  0.5000  0.6154  0.5000  2 Fe 1.92
O  0.0000  0.8949  0.0902  1 Fe 1.84
O  0.5000  0.1051  0.5902  1 Fe 1.84
O  0.0000  0.3846  0.0000  2 Fe 1.92
O  0.5000  0.3679  0.8143  3 Fe 1.95-2.00
O  0.0000  0.8949  0.9098  1 Fe 1.84
Fe  0.0000  0.5547  0.1465  5 O 1.84-2.00
Fe  0.5000  0.4453  0.6465  5 O 1.84-2.00
Fe  0.5000  0.4453  0.3535  5 O 1.84-2.00
Fe  0.0000  0.5547  0.8535  5 O 1.84-2.00
Mg  0.5000  0.0920  0.0000  6 O 2.19-2.21
Mg  0.0000  0.9080  0.5000  6 O 2.19-2.21

Output
- final energy (eV for the cell shown) = -96.758